The following is a PBE calculation of a relaxed Ba2NdIr3O12 crystal, from Alexandria via LeMat-Bulk.

```
18
Lattice="6.958 -0.208 -0.148 3.255 6.153 -0.148 3.255 1.895 5.856" Properties=species:S:1:pos:R:3 pbc="T T T"
Ba 8.237 4.794 3.401
Ba 5.231 3.045 2.160
Nd 0.000 0.000 0.000
Ir 3.479 -0.104 -0.074
Ir 1.627 3.076 -0.074
Ir 1.627 0.947 2.928
O 5.846 3.403 5.057
O 10.249 5.966 2.151
O 8.542 6.935 4.919
O 8.015 2.171 1.540
O 10.249 4.003 4.919
O 5.846 5.898 1.540
O 7.621 4.436 0.503
O 3.218 1.873 3.409
O 4.925 0.904 0.641
O 5.452 5.668 4.021
O 3.218 3.837 0.641
O 7.621 1.941 4.021
```

Results
crystal system: trigonal
calculated total energy: -6.787 eV/atom
volume: 258.7 Å³ per cell
formation energy (no corrections): -1527 meV/atom
space group: R-3m